VASP calculation (GGA-PBE) on AcNdAl2Ge after structural relaxation.

a b c (Å): 4.486 4.707 7.151
angles (deg): 109.22 108.28 90.00
Atoms (fractional coordinates):
Ac  0.441  0.441  0.881
Nd  0.199  0.699  0.399
Al  0.674  0.174  0.348
Al  0.049  0.049  0.097
Ge  0.850  0.850  0.699

Calculated values
Crystal system: orthorhombic
Energy of formation from the pure elements in meV/atom: -461